# 1
! CoCI2O | Alexandria | meta-GGA SCAN | single point on PBEsol structure; values from VASP
&SYSTEM
  ibrav = 0, nat = 5, ntyp = 4
/
ATOMIC_SPECIES
Co 58.93 Co.upf
C 12.01 C.upf
I 126.90 I.upf
O 16.00 O.upf
CELL_PARAMETERS angstrom
5.1629 0.0000 0.0000
0.0000 5.1629 0.0000
0.0000 0.0000 3.4155
ATOMIC_POSITIONS angstrom
Co 0.0000 0.0000 0.0000
C 2.5815 2.5815 1.7077
I 0.0000 2.5815 0.0000
I 2.5815 0.0000 0.0000
O 0.0000 0.0000 1.7077
! * space group: P4/mmm
! * Fermi-level density of states: 0.5937 states/eV per atom
! * density: 6.215 g/cm³
! * raw formation energy: 1194 meV per atom

=====

# 2
! RbCoC2I | Alexandria | meta-GGA SCAN | single point on PBEsol structure; values from VASP
&SYSTEM
  ibrav = 0, nat = 5, ntyp = 4
/
ATOMIC_SPECIES
Rb 85.47 Rb.upf
Co 58.93 Co.upf
C 12.01 C.upf
I 126.90 I.upf
CELL_PARAMETERS angstrom
4.0599 0.0000 0.0000
0.0000 4.0599 0.0000
0.0000 0.0000 6.0651
ATOMIC_POSITIONS angstrom
Rb 0.0000 0.0000 0.0000
Co 0.0000 0.0000 3.0325
C 0.0000 2.0299 3.0325
C 2.0299 0.0000 3.0325
I 2.0299 2.0299 0.0000
! * space group: P4/mmm
! * Fermi-level density of states: 0.3744 states/eV per atom
! * density: 4.906 g/cm³
! * raw formation energy: 1806 meV per atom

=====

# 3
! CoSb2CI | Alexandria | meta-GGA SCAN | single point on PBEsol structure; values from VASP
&SYSTEM
  ibrav = 0, nat = 5, ntyp = 4
/
ATOMIC_SPECIES
Co 58.93 Co.upf
Sb 121.76 Sb.upf
C 12.01 C.upf
I 126.90 I.upf
CELL_PARAMETERS angstrom
4.6800 0.0000 0.0000
0.0000 4.6800 0.0000
0.0000 0.0000 4.6039
ATOMIC_POSITIONS angstrom
Co 0.0000 0.0000 0.0000
Sb 0.0000 2.3400 2.3020
Sb 2.3400 0.0000 2.3020
C 2.3400 2.3400 2.3020
I 2.3400 2.3400 0.0000
! * space group: P4/mmm
! * Fermi-level density of states: 0.5825 states/eV per atom
! * density: 7.268 g/cm³
! * raw formation energy: 1592 meV per atom

=====

# 4
! In4Co12C3 | Alexandria | meta-GGA SCAN | single point on PBEsol structure; values from VASP
&SYSTEM
  ibrav = 0, nat = 19, ntyp = 3
/
ATOMIC_SPECIES
In 114.82 In.upf
Co 58.93 Co.upf
C 12.01 C.upf
CELL_PARAMETERS angstrom
3.7730 0.0000 0.0000
0.0000 3.7730 0.0000
0.0000 0.0000 14.8664
ATOMIC_POSITIONS angstrom
In 0.0000 0.0000 1.8148
In 0.0000 0.0000 5.5603
In 0.0000 0.0000 9.3061
In 0.0000 0.0000 13.0516
Co 0.0000 1.8865 0.0000
Co 0.0000 1.8865 3.6964
Co 0.0000 1.8865 7.4332
Co 0.0000 1.8865 11.1701
Co 1.8865 0.0000 0.0000
Co 1.8865 0.0000 3.6964
Co 1.8865 0.0000 7.4332
Co 1.8865 0.0000 11.1701
Co 1.8865 1.8865 1.7376
Co 1.8865 1.8865 5.5408
Co 1.8865 1.8865 9.3256
Co 1.8865 1.8865 13.1288
C 1.8865 1.8865 3.5946
C 1.8865 1.8865 7.4332
C 1.8865 1.8865 11.2718
! * space group: P4/mmm
! * Fermi-level density of states: 0.4949 states/eV per atom
! * density: 9.435 g/cm³
! * E_form: 0.167 eV/atom

=====

# 5
! InCoMoC2 | Alexandria | meta-GGA SCAN | single point on PBEsol structure; values from VASP
&SYSTEM
  ibrav = 0, nat = 5, ntyp = 4
/
ATOMIC_SPECIES
In 114.82 In.upf
Co 58.93 Co.upf
Mo 95.94 Mo.upf
C 12.01 C.upf
CELL_PARAMETERS angstrom
4.0982 0.0000 0.0000
0.0000 4.0982 0.0000
0.0000 0.0000 4.6310
ATOMIC_POSITIONS angstrom
In 0.0000 0.0000 0.0000
Co 0.0000 0.0000 2.3155
Mo 2.0491 2.0491 2.3155
C 0.0000 2.0491 0.0000
C 2.0491 0.0000 0.0000
! * space group: P4/mmm
! * Fermi-level density of states: 1.0139 states/eV per atom
! * density: 6.271 g/cm³
! * E_form: 3.055 eV/atom

=====

# 6
! TlIn2CoC | Alexandria | meta-GGA SCAN | single point on PBEsol structure; values from VASP
&SYSTEM
  ibrav = 0, nat = 5, ntyp = 4
/
ATOMIC_SPECIES
Tl 204.38 Tl.upf
In 114.82 In.upf
Co 58.93 Co.upf
C 12.01 C.upf
CELL_PARAMETERS angstrom
4.8360 0.0000 0.0000
0.0000 4.8360 0.0000
0.0000 0.0000 4.9155
ATOMIC_POSITIONS angstrom
Tl 0.0000 0.0000 0.0000
In 0.0000 2.4180 2.4578
In 2.4180 0.0000 2.4578
Co 0.0000 0.0000 2.4578
C 2.4180 2.4180 0.0000
! * space group: P4/mmm
! * Fermi-level density of states: 0.3756 states/eV per atom
! * density: 7.294 g/cm³
! * E_form: 1.281 eV/atom